# 1
Material: SrTbPaO6
Method: DFT, PBE
State: optimized geometry

It has space group P312 (No. 149), with a = 6.0213 Å, b = 6.0213 Å, c = 4.7178 Å, α = 90.00°, β = 90.00° and γ = 120.00°. The asymmetric unit holds Sr at (0.0000, 0.0000, 0.0000), Tb at (0.3333, 0.6667, 0.0000), Pa at (0.6667, 0.3333, 0.5000) and O at (0.3766, 0.0144, 0.2485).

The density of states at the Fermi level is 0.80 states/eV per atom. The energy relative to the elements, uncorrected is -2.774 eV/atom. The volume comes out at 148.1 Å³/cell.

---

# 2
Material: K2MgNp3O12
Method: DFT, PBE
State: optimized geometry

It has space group R-3m (No. 166, hexagonal axes), with a = 7.8974 Å, b = 7.8974 Å, c = 17.7003 Å, α = 90.00°, β = 90.00° and γ = 120.00°. The asymmetric unit holds K at (0.0000, 0.0000, 0.1263), Mg at (0.0000, 0.0000, 0.5000), Np at (0.0000, 0.5000, 0.0000), O at (0.0741, 0.5371, 0.3588) and O at (0.0783, 0.5392, 0.1021).

The density of states at the Fermi level is 0.51 states/eV per atom. The energy relative to the elements, uncorrected is -2.550 eV/atom. The volume comes out at 956.0 Å³/cell.

---

# 3
Material: ErSiNi
Method: DFT, PBE
State: optimized geometry

It has space group P-6m2 (No. 187), with a = 4.0394 Å, b = 4.0394 Å, c = 3.7259 Å, α = 90.00°, β = 90.00° and γ = 120.00°. The asymmetric unit holds Er at (0.0000, 0.0000, 0.0000), Si at (0.3333, 0.6667, 0.5000) and Ni at (0.6667, 0.3333, 0.5000).

The density of states at the Fermi level is 1.00 states/eV per atom. The energy relative to the elements, uncorrected is -0.791 eV/atom. The volume comes out at 52.6 Å³/cell.

---

# 4
Material: TbSiAu
Method: DFT, PBE
State: optimized geometry

It has space group P2_1/m (No. 11), with a = 4.312 Å, b = 4.100 Å, c = 7.290 Å, α = 90.00°, β = 94.31° and γ = 90.00°. The asymmetric unit holds Tb at (0.234, 0.250, 0.332), Si at (0.179, 0.750, 0.008) and Au at (0.309, 0.250, 0.754).

The density of states at the Fermi level is 0.35 states/eV per atom. The energy relative to the elements, uncorrected is -0.566 eV/atom. The volume comes out at 128.5 Å³/cell.

---

# 5
Material: MgBe3Au
Method: DFT, PBE
State: optimized geometry

It has space group Pm-3m (No. 221), with a = 4.386 Å, b = 4.386 Å, c = 4.386 Å, α = 90.00°, β = 90.00° and γ = 90.00°. The asymmetric unit holds Mg at (0.000, 0.000, 0.000), Be at (0.000, 0.000, 0.500) and Au at (0.500, 0.500, 0.500).

The density of states at the Fermi level is 0.38 states/eV per atom. The formation energy comes out at 1.4572 eV/atom. The volume comes out at 84.4 Å³/cell.

---

# 6
Material: Ho2TmZr
Method: DFT, PBE
State: optimized geometry

It has space group P4/mmm (No. 123), with a = 3.415 Å, b = 3.415 Å, c = 9.724 Å, α = 90.00°, β = 90.00° and γ = 90.00°. The asymmetric unit holds Ho at (0.000, 0.000, 0.235), Tm at (0.500, 0.500, 0.500) and Zr at (0.500, 0.500, 0.000).

The density of states at the Fermi level is 1.27 states/eV per atom. The formation energy comes out at 0.0685 eV/atom. The volume comes out at 113.4 Å³/cell.

---

# 7
Material: TlVS3
Method: DFT, PBE
State: optimized geometry

It has space group Pm-3m (No. 221), with a = 4.687 Å, b = 4.687 Å, c = 4.687 Å, α = 90.00°, β = 90.00° and γ = 90.00°. The asymmetric unit holds Tl at (0.000, 0.000, 0.000), V at (0.500, 0.500, 0.500) and S at (0.000, 0.500, 0.500).

The density of states at the Fermi level is 0.87 states/eV per atom. The energy relative to the elements, uncorrected is -0.367 eV/atom. The volume comes out at 103.0 Å³/cell.

---

# 8
Material: La2YTe4
Method: DFT, PBE
State: optimized geometry

It has space group Imma (No. 74), with a = 8.950 Å, b = 9.039 Å, c = 12.514 Å, α = 90.00°, β = 90.00° and γ = 90.00°. The asymmetric unit holds La at (0.000, 0.000, 0.000), La at (0.250, 0.250, 0.250), Y at (0.250, 0.250, 0.750), Te at (0.000, 0.010, 0.739) and Te at (0.243, 0.250, 0.505).

The density of states at the Fermi level is 0.36 states/eV per atom. The energy relative to the elements, uncorrected is -1.517 eV/atom. The volume comes out at 1012.5 Å³/cell.

---

# 9
Material: CrMoBr2
Method: DFT, PBE
State: optimized geometry

It has space group P2/m (No. 10), with a = 3.440 Å, b = 4.342 Å, c = 5.636 Å, α = 90.00°, β = 93.17° and γ = 90.00°. The asymmetric unit holds Cr at (0.000, 0.000, 0.000), Mo at (0.500, 0.000, 0.500) and Br at (0.276, 0.500, 0.257).

The density of states at the Fermi level is 0.67 states/eV per atom. The energy relative to the elements, uncorrected is 0.697 eV/atom. The volume comes out at 84.1 Å³/cell.

---

# 10
Material: MgZn2Ge
Method: DFT, PBE
State: optimized geometry

It has space group P4/mmm (No. 123), with a = 3.376 Å, b = 3.376 Å, c = 6.315 Å, α = 90.00°, β = 90.00° and γ = 90.00°. The asymmetric unit holds Mg at (0.000, 0.000, 0.000), Zn at (0.500, 0.500, 0.262) and Ge at (0.000, 0.000, 0.500).

The density of states at the Fermi level is 0.40 states/eV per atom. The formation energy comes out at 0.0780 eV/atom. The volume comes out at 72.0 Å³/cell.

---

# 11
Material: Y6Si2Te3Pb
Method: DFT, PBE
State: optimized geometry

It has space group C2/m (No. 12), with a = 18.908 Å, b = 4.266 Å, c = 8.750 Å, α = 90.00°, β = 103.94° and γ = 90.00°. The asymmetric unit holds Y at (0.011, 0.000, 0.254), Y at (0.168, 0.500, 0.111), Y at (0.175, 0.500, 0.566), Si at (0.168, 0.000, 0.337), Te at (0.000, 0.500, 0.500), Te at (0.164, 0.000, 0.833) and Pb at (0.000, 0.500, 0.000).

The density of states at the Fermi level is 0.19 states/eV per atom. The energy relative to the elements, uncorrected is -1.066 eV/atom. The volume comes out at 684.9 Å³/cell.

---

# 12
Material: Cs2AlAu
Method: DFT, PBE
State: optimized geometry

It has space group I-42d (No. 122), with a = 13.901 Å, b = 13.901 Å, c = 4.898 Å, α = 90.00°, β = 90.00° and γ = 90.00°. The asymmetric unit holds Cs at (0.067, 0.750, 0.125), Al at (0.000, 0.000, 0.500) and Au at (0.000, 0.000, 0.000).

The density of states at the Fermi level is 0.99 states/eV per atom. The formation energy comes out at -0.0565 eV/atom. The volume comes out at 946.5 Å³/cell.

---

# 13
Material: YThAl2Au2
Method: DFT, PBE
State: optimized geometry

It has space group P-3m1 (No. 164), with a = 4.5314 Å, b = 4.5314 Å, c = 7.5546 Å, α = 90.00°, β = 90.00° and γ = 120.00°. The asymmetric unit holds Y at (0.0000, 0.0000, 0.0000), Th at (0.0000, 0.0000, 0.5000), Al at (0.3333, 0.6667, 0.2356) and Au at (0.3333, 0.6667, 0.7663).

The density of states at the Fermi level is 0.66 states/eV per atom. The formation energy comes out at -0.6942 eV/atom. The volume comes out at 134.3 Å³/cell.

---

# 14
Material: SbBrCl2
Method: DFT, PBE
State: optimized geometry

It has space group C2/m (No. 12), with a = 6.447 Å, b = 9.463 Å, c = 3.554 Å, α = 90.00°, β = 90.54° and γ = 90.00°. The asymmetric unit holds Sb at (0.000, 0.000, 0.000), Br at (0.000, 0.500, 0.000) and Cl at (0.250, 0.250, 0.000).

The density of states at the Fermi level is 0.59 states/eV per atom. The energy relative to the elements, uncorrected is -0.003 eV/atom. The volume comes out at 216.8 Å³/cell.

---

# 15
Material: FeOsS3
Method: DFT, PBE
State: optimized geometry

It has space group Pm-3m (No. 221), with a = 4.613 Å, b = 4.613 Å, c = 4.613 Å, α = 90.00°, β = 90.00° and γ = 90.00°. The asymmetric unit holds Fe at (0.000, 0.000, 0.000), Os at (0.500, 0.500, 0.500) and S at (0.000, 0.500, 0.500).

The density of states at the Fermi level is 1.45 states/eV per atom. The energy relative to the elements, uncorrected is 0.899 eV/atom. The volume comes out at 98.2 Å³/cell.

---

# 16
Material: Tm5Te2Pt
Method: DFT, PBE
State: optimized geometry

It has space group Cmcm (No. 63), with a = 5.281 Å, b = 15.927 Å, c = 13.367 Å, α = 90.00°, β = 90.00° and γ = 90.00°. The asymmetric unit holds Tm at (0.000, 0.098, 0.110), Tm at (0.000, 0.259, 0.750), Tm at (0.000, 0.312, 0.066), Te at (0.000, 0.091, 0.616) and Pt at (0.000, 0.223, 0.250).

The density of states at the Fermi level is 0.83 states/eV per atom. The energy relative to the elements, uncorrected is -0.629 eV/atom. The volume comes out at 1124.2 Å³/cell.

---

# 17
Material: Nd2MgP3Pt12
Method: DFT, PBE
State: optimized geometry

It has space group R-3m (No. 166, hexagonal axes), with a = 8.2874 Å, b = 8.2874 Å, c = 17.8005 Å, α = 90.00°, β = 90.00° and γ = 120.00°. The asymmetric unit holds Nd at (0.0000, 0.0000, 0.1081), Mg at (0.0000, 0.0000, 0.5000), P at (0.0000, 0.5000, 0.0000), Pt at (0.0052, 0.5026, 0.8717) and Pt at (0.0373, 0.5187, 0.3608).

The density of states at the Fermi level is 0.37 states/eV per atom. The formation energy comes out at -0.4738 eV/atom. The volume comes out at 1058.8 Å³/cell.

---

# 18
Material: BaSr2Y
Method: DFT, PBE
State: optimized geometry

It has space group C2/m (No. 12), with a = 13.708 Å, b = 4.096 Å, c = 7.055 Å, α = 90.00°, β = 101.83° and γ = 90.00°. The asymmetric unit holds Ba at (0.000, 0.000, 0.000), Sr at (0.240, 0.000, 0.735) and Y at (0.000, 0.500, 0.500).

The density of states at the Fermi level is 1.67 states/eV per atom. The formation energy comes out at 0.1915 eV/atom. The volume comes out at 387.8 Å³/cell.

---

# 19
Material: BaLiThSe3
Method: DFT, PBE
State: optimized geometry

It has space group P2_1/m (No. 11), with a = 9.095 Å, b = 4.264 Å, c = 9.349 Å, α = 90.00°, β = 105.59° and γ = 90.00°. The asymmetric unit holds Ba at (0.191, 0.250, 0.242), Li at (0.083, 0.250, 0.592), Th at (0.340, 0.750, 0.853), Se at (0.112, 0.250, 0.869), Se at (0.205, 0.750, 0.528) and Se at (0.445, 0.750, 0.187).

The density of states at the Fermi level is 0.33 states/eV per atom. The energy relative to the elements, uncorrected is -1.667 eV/atom. The volume comes out at 349.2 Å³/cell.

---

# 20
Material: PrScI2
Method: DFT, PBE
State: optimized geometry

It has space group R-3m (No. 166, hexagonal axes), with a = 3.8347 Å, b = 3.8347 Å, c = 31.4347 Å, α = 90.00°, β = 90.00° and γ = 120.00°. The asymmetric unit holds Pr at (0.0000, 0.0000, 0.0000), Sc at (0.0000, 0.0000, 0.5000) and I at (0.0000, 0.0000, 0.1046).

The density of states at the Fermi level is 1.31 states/eV per atom. The energy relative to the elements, uncorrected is -0.602 eV/atom. The volume comes out at 400.3 Å³/cell.